Here is an optimized crystal structure of SrCaZnPd from the Alexandria database. Energies are from PBE-GGA.

Cell and atoms, written as POSCAR:
```
SrCaZnPd
1.0
4.4131 -0.0157 -0.0124
-2.1944 3.8289 0.0124
-2.2099 -1.2662 7.4269
Sr Ca Zn Pd
1 1 1 1
direct
0.3558 0.0415 0.3973
0.0032 0.8672 0.8704
0.8326 0.2809 0.1135
0.5006 0.6148 0.1154
```

Calculated values
space group = Cm
ΔE to the lowest computed polymorph = 0 kJ/mol of formula units
Fermi-level density of states = 0.502 states/eV per atom
energy of formation = -1.9 eV/f.u.

---

Here is an optimized crystal structure of SrCaZnPd from the Alexandria database. Energies are from PBE-GGA.

Cell and atoms, written as POSCAR:
```
SrCaZnPd
1.0
5.2462 0.0000 0.0000
2.6231 4.5433 0.0000
2.6231 1.5144 4.2835
Sr Zn Ca Pd
1 1 1 1
direct
0.7500 0.7500 0.7500
0.0000 0.0000 0.0000
0.2500 0.2500 0.2500
0.5000 0.5000 0.5000
```

Calculated values
space group = F-43m
ΔE to the lowest computed polymorph = 34 kJ/mol of formula units
Fermi-level density of states = 0.450 states/eV per atom
energy of formation = -1.5 eV/f.u.

---

Here is an optimized crystal structure of SrCaZn2Pd2 from the Alexandria database. Energies are from PBE-GGA.

Cell and atoms, written as POSCAR:
```
SrCaZn2Pd2
1.0
-3.1832 -2.9423 0.8278
2.4525 -0.3706 -3.6501
5.3641 -4.6563 4.0769
Sr Ca Zn Pd
1 1 2 2
direct
0.0000 0.0000 0.0000
0.0000 0.0000 0.5000
0.6667 0.3333 0.7283
0.3333 0.6667 0.2717
0.6667 0.3333 0.2705
0.3333 0.6667 0.7295
```

Calculated values
space group = P-3m1
Fermi-level density of states = 0.153 states/eV per atom
energy of formation = -3.5 eV/f.u.

---

Here is an optimized crystal structure of CaTaPd6 from the Alexandria database. Energies are from PBE-GGA.

Cell and atoms, written as POSCAR:
```
CaTaPd6
1.0
-2.3221 2.6872 1.9158
-0.1052 -2.4016 3.2410
6.6297 3.6481 2.9185
Ca Ta Pd
1 1 6
direct
0.0000 0.0000 0.0000
0.0000 0.0000 0.5000
0.5000 0.5000 0.0000
0.5000 0.5000 0.5000
0.5000 0.0000 0.2688
0.5000 0.0000 0.7312
0.0000 0.5000 0.2688
0.0000 0.5000 0.7312
```

Calculated values
space group = P4/mmm
Fermi-level density of states = 0.514 states/eV per atom
energy of formation = -4.4 eV/f.u.

---

Here is an optimized crystal structure of CaTa2Pd from the Alexandria database. Energies are from PBE-GGA.

Cell and atoms, written as POSCAR:
```
CaTa2Pd
1.0
1.7459 -3.5384 2.6033
0.0957 0.3569 4.7127
-2.8973 -2.6518 2.6305
Ca Pd Ta
1 1 2
direct
0.0000 0.0000 0.0000
0.5000 0.5000 0.5000
0.2500 0.2500 0.2500
0.7500 0.7500 0.7500
```

Calculated values
space group = Fm-3m
ΔE to the lowest computed polymorph = 71 kJ/mol of formula units
Fermi-level density of states = 1.521 states/eV per atom
energy of formation = 2.8 eV/f.u.

---

Here is an optimized crystal structure of Ca3TaPd from the Alexandria database. Energies are from PBE-GGA.

Cell and atoms, written as POSCAR:
```
Ca3TaPd
1.0
5.4394 0.0000 0.0000
0.0000 5.4394 0.0000
0.0000 0.0000 5.4394
Ca Pd Ta
3 1 1
direct
0.0000 0.5000 0.0000
0.0000 0.0000 0.5000
0.5000 0.0000 0.0000
0.0000 0.0000 0.0000
0.5000 0.5000 0.5000
```

Calculated values
space group = Pm-3m
ΔE to the lowest computed polymorph = 0 kJ/mol of formula units
Fermi-level density of states = 0.896 states/eV per atom
energy of formation = 3.0 eV/f.u.